! DyMgAgRu, optimized geometry, DFT PBE-GGA; values from VASP
&SYSTEM
  ibrav = 0, nat = 4, ntyp = 4
/
ATOMIC_SPECIES
Dy 162.50 Dy.upf
Mg 24.30 Mg.upf
Ag 107.87 Ag.upf
Ru 101.07 Ru.upf
CELL_PARAMETERS angstrom
0.000 3.379 3.379
3.379 0.000 3.379
3.379 3.379 0.000
ATOMIC_POSITIONS crystal
Dy 0.000 0.000 0.000
Mg 0.500 0.500 0.500
Ag 0.250 0.250 0.250
Ru 0.750 0.750 0.750
! - V (Å³ per cell) = 77.1
! - crystal system = cubic
! - ΔE_f (kcal/mol of atoms) = -4.0